Record 1
# SrPuH2 | the Alexandria database | PBE-GGA | relaxed
# size of the total moment = 7.20 μB/f.u.
# space group = R-3m
# E_tot = -23.25 eV per cell
data_SrPuH2
_cell_length_a 3.646
_cell_length_b 3.646
_cell_length_c 6.456
_cell_angle_alpha 73.60
_cell_angle_beta 73.60
_cell_angle_gamma 60.00
_symmetry_space_group_name_H-M 'P 1'
_symmetry_Int_Tables_number 1
_symmetry_space_group_name_Hall 'P 1'
loop_
_atom_site_label
_atom_site_type_symbol
_atom_site_fract_x
_atom_site_fract_y
_atom_site_fract_z
_atom_site_occupancy
Sr1 Sr 0.500 0.500 0.500 1
H1 H 0.742 0.742 0.775 1
H2 H 0.258 0.258 0.225 1
Pu1 Pu 0.000 0.000 0.000 1



Record 2
# SrPuH4 | the Alexandria database | PBE-GGA | relaxed
# size of the total moment = 5.88 μB/f.u.
# space group = P4/mmm
# E_tot = -31.94 eV per cell
data_SrPuH4
_cell_length_a 3.876
_cell_length_b 3.876
_cell_length_c 5.638
_cell_angle_alpha 90.00
_cell_angle_beta 90.00
_cell_angle_gamma 90.00
_symmetry_space_group_name_H-M 'P 1'
_symmetry_Int_Tables_number 1
_symmetry_space_group_name_Hall 'P 1'
loop_
_atom_site_label
_atom_site_type_symbol
_atom_site_fract_x
_atom_site_fract_y
_atom_site_fract_z
_atom_site_occupancy
Sr1 Sr 0.501 0.497 0.998 1
Pu1 Pu 0.001 0.997 0.498 1
H1 H 0.501 0.997 0.272 1
H2 H 0.501 0.997 0.724 1
H3 H 0.001 0.497 0.724 1
H4 H 0.001 0.497 0.272 1



Record 3
# PuTaH2 | the Alexandria database | PBE-GGA | relaxed
# size of the total moment = 4.61 μB/f.u.
# space group = R-3m
# E_tot = -33.13 eV per cell
data_PuTaH2
_cell_length_a 2.989
_cell_length_b 2.989
_cell_length_c 6.152
_cell_angle_alpha 75.94
_cell_angle_beta 75.94
_cell_angle_gamma 60.00
_symmetry_space_group_name_H-M 'P 1'
_symmetry_Int_Tables_number 1
_symmetry_space_group_name_Hall 'P 1'
loop_
_atom_site_label
_atom_site_type_symbol
_atom_site_fract_x
_atom_site_fract_y
_atom_site_fract_z
_atom_site_occupancy
H1 H 0.272 0.272 0.185 1
H2 H 0.728 0.728 0.815 1
Ta1 Ta 0.000 0.000 0.000 1
Pu1 Pu 0.500 0.500 0.500 1



Record 4
# PuTaH4 | the Alexandria database | PBE-GGA | relaxed
# size of the total moment = 5.39 μB/f.u.
# space group = Imma
# E_tot = -81.81 eV per cell
data_PuTaH4
_cell_length_a 5.069
_cell_length_b 5.204
_cell_length_c 5.570
_cell_angle_alpha 117.85
_cell_angle_beta 117.07
_cell_angle_gamma 90.00
_symmetry_space_group_name_H-M 'P 1'
_symmetry_Int_Tables_number 1
_symmetry_space_group_name_Hall 'P 1'
loop_
_atom_site_label
_atom_site_type_symbol
_atom_site_fract_x
_atom_site_fract_y
_atom_site_fract_z
_atom_site_occupancy
Pu1 Pu 0.360 0.610 0.220 1
Pu2 Pu 0.640 0.390 0.780 1
Ta1 Ta 0.112 0.862 0.723 1
Ta2 Ta 0.888 0.138 0.277 1
H1 H 0.000 0.192 0.000 1
H2 H 0.500 0.808 0.000 1
H3 H 0.225 0.500 0.500 1
H4 H 0.775 0.500 0.500 1
H5 H 0.225 0.000 0.500 1
H6 H 0.500 0.192 0.000 1
H7 H 0.775 0.000 0.500 1
H8 H 0.000 0.808 0.000 1



Record 5
# PuTa2H | the Alexandria database | PBE-GGA | relaxed
# size of the total moment = 4.77 μB/f.u.
# space group = R-3m
# E_tot = -40.01 eV per cell
data_PuTa2H
_cell_length_a 2.930
_cell_length_b 2.930
_cell_length_c 8.717
_cell_angle_alpha 80.32
_cell_angle_beta 80.32
_cell_angle_gamma 60.00
_symmetry_space_group_name_H-M 'P 1'
_symmetry_Int_Tables_number 1
_symmetry_space_group_name_Hall 'P 1'
loop_
_atom_site_label
_atom_site_type_symbol
_atom_site_fract_x
_atom_site_fract_y
_atom_site_fract_z
_atom_site_occupancy
H1 H 0.500 0.500 0.500 1
Ta1 Ta 0.115 0.115 0.654 1
Ta2 Ta 0.885 0.885 0.346 1
Pu1 Pu 0.000 0.000 0.000 1



Record 6
# TbPuH4 | the Alexandria database | PBE-GGA | relaxed
# size of the total moment = 5.43 μB/f.u.
# space group = P4/mmm
# E_tot = -35.55 eV per cell
data_TbPuH4
_cell_length_a 3.707
_cell_length_b 3.707
_cell_length_c 5.283
_cell_angle_alpha 90.00
_cell_angle_beta 90.00
_cell_angle_gamma 90.00
_symmetry_space_group_name_H-M 'P 1'
_symmetry_Int_Tables_number 1
_symmetry_space_group_name_Hall 'P 1'
loop_
_atom_site_label
_atom_site_type_symbol
_atom_site_fract_x
_atom_site_fract_y
_atom_site_fract_z
_atom_site_occupancy
Tb1 Tb 0.501 0.497 0.998 1
Pu1 Pu 0.001 0.997 0.498 1
H1 H 0.501 0.997 0.243 1
H2 H 0.501 0.997 0.753 1
H3 H 0.001 0.497 0.753 1
H4 H 0.001 0.497 0.243 1



Record 7
# Tb2PuH | the Alexandria database | PBE-GGA | relaxed
# excess energy over the best structure of this formula in the dataset = 90 meV/atom
# size of the total moment = 5.77 μB/f.u.
# space group = P4/mmm
data_Tb2PuH
_cell_length_a 3.257
_cell_length_b 3.257
_cell_length_c 8.447
_cell_angle_alpha 90.00
_cell_angle_beta 90.00
_cell_angle_gamma 90.00
_symmetry_space_group_name_H-M 'P 1'
_symmetry_Int_Tables_number 1
_symmetry_space_group_name_Hall 'P 1'
loop_
_atom_site_label
_atom_site_type_symbol
_atom_site_fract_x
_atom_site_fract_y
_atom_site_fract_z
_atom_site_occupancy
H1 H 0.500 0.500 0.000 1
Tb1 Tb 0.000 0.000 0.805 1
Tb2 Tb 0.000 0.000 0.195 1
Pu1 Pu 0.500 0.500 0.500 1



Record 8
# Tb2PuH | the Alexandria database | PBE-GGA | relaxed
# excess energy over the best structure of this formula in the dataset = 0 meV/atom
# size of the total moment = 6.23 μB/f.u.
# space group = R-3m
data_Tb2PuH
_cell_length_a 3.444
_cell_length_b 3.444
_cell_length_c 9.486
_cell_angle_alpha 79.54
_cell_angle_beta 79.54
_cell_angle_gamma 60.00
_symmetry_space_group_name_H-M 'P 1'
_symmetry_Int_Tables_number 1
_symmetry_space_group_name_Hall 'P 1'
loop_
_atom_site_label
_atom_site_type_symbol
_atom_site_fract_x
_atom_site_fract_y
_atom_site_fract_z
_atom_site_occupancy
H1 H 0.500 0.500 0.500 1
Tb1 Tb 0.117 0.117 0.648 1
Tb2 Tb 0.883 0.883 0.352 1
Pu1 Pu 0.000 0.000 0.000 1



Record 9
# TbPuH | the Alexandria database | PBE-GGA | relaxed
# excess energy over the best structure of this formula in the dataset = 3 meV/atom
# size of the total moment = 6.02 μB/f.u.
# space group = P3m1
data_TbPuH
_cell_length_a 3.494
_cell_length_b 3.494
_cell_length_c 5.716
_cell_angle_alpha 90.00
_cell_angle_beta 90.00
_cell_angle_gamma 120.00
_symmetry_space_group_name_H-M 'P 1'
_symmetry_Int_Tables_number 1
_symmetry_space_group_name_Hall 'P 1'
loop_
_atom_site_label
_atom_site_type_symbol
_atom_site_fract_x
_atom_site_fract_y
_atom_site_fract_z
_atom_site_occupancy
H1 H 0.333 0.667 0.664 1
Tb1 Tb 0.667 0.333 0.422 1
Pu1 Pu 0.000 0.000 0.914 1



Record 10
# TbPuH | the Alexandria database | PBE-GGA | relaxed
# excess energy over the best structure of this formula in the dataset = 0 meV/atom
# size of the total moment = 0.00 μB/f.u.
# space group = P2_1/m
data_TbPuH
_cell_length_a 3.270
_cell_length_b 3.549
_cell_length_c 9.096
_cell_angle_alpha 90.00
_cell_angle_beta 107.82
_cell_angle_gamma 90.00
_symmetry_space_group_name_H-M 'P 1'
_symmetry_Int_Tables_number 1
_symmetry_space_group_name_Hall 'P 1'
loop_
_atom_site_label
_atom_site_type_symbol
_atom_site_fract_x
_atom_site_fract_y
_atom_site_fract_z
_atom_site_occupancy
H1 H 0.387 0.250 0.145 1
H2 H 0.613 0.750 0.855 1
Tb1 Tb 0.110 0.250 0.852 1
Tb2 Tb 0.890 0.750 0.148 1
Pu1 Pu 0.581 0.250 0.433 1
Pu2 Pu 0.419 0.750 0.567 1



no.,D(E_F) (states/eV/cell),volume (Å³/f.u.)
1,8.5,70.3
2,5.2,84.7
3,5.0,45.7
4,13.4,55.7
5,6.7,63.6
6,6.4,72.6
7,9.1,89.6
8,10.5,95.3
9,8.1,60.4
10,7.4,50.2